Material: CaInAs2F
Method: DFT, GGA-PBE
State: relaxed

**Formation energy (no corrections)**: -0.694 eV/atom
**Final energy**: -19.38 eV for the cell shown
**Density**: 4.84 g cm⁻³
**Total magnetic moment**: 0.00 μB/f.u.

a = 5.0677 Å, b = 5.0677 Å, c = 4.3234 Å
α = 90.00°, β = 90.00°, γ = 90.00°
Element x y z (fractional)
Ca  0.0000  0.0000  0.0000
In  0.5000  0.5000  0.0000
As  0.0000  0.5000  0.5000
As  0.5000  0.0000  0.5000
F  0.0000  0.0000  0.5000